No. 1
Density functional theory data (PBE) for PmBePdO4 after structural relaxation.

Values from the calculation:
The total energy comes out at -6.604 eV/atom. As for the density: 6198 kg/m³. The space group is Cmcm (63). As for the total magnetization: 1.11 μB/f.u. For the uncorrected formation energy, the calculation gives -1.818 eV per atom.

abc: 5.2253 5.2253 6.8896
angles: 90.00 90.00 112.47
Positions (direct):
Pm1 0.0000 0.0000 0.0000
Pm2 0.0000 0.0000 0.5000
Be1 0.3755 0.6245 0.7500
Be2 0.6245 0.3755 0.2500
Pd1 0.3094 0.6906 0.2500
Pd2 0.6906 0.3094 0.7500
O1 0.2581 0.2855 0.7500
O2 0.2737 0.7263 0.5420
O3 0.2737 0.7263 0.9580
O4 0.2855 0.2581 0.2500
O5 0.7145 0.7419 0.7500
O6 0.7263 0.2737 0.0420
O7 0.7263 0.2737 0.4580
O8 0.7419 0.7145 0.2500

=====

No. 2
Density functional theory data (PBE) for Sr5Pb2I2 after structural relaxation.

Values from the calculation:
The total energy comes out at -2.975 eV/atom. As for the density: 4828 kg/m³. The space group is Cmce (64). As for the total magnetization: 0.00 μB/f.u. For the uncorrected formation energy, the calculation gives -0.872 eV per atom.

abc: 9.6502 9.6502 9.5427
angles: 90.00 90.00 58.91
Positions (direct):
Sr1 0.0000 0.0000 0.0000
Sr2 0.0303 0.7410 0.6409
Sr3 0.2410 0.5303 0.1409
Sr4 0.2590 0.9697 0.6409
Sr5 0.4697 0.7590 0.1409
Sr6 0.5000 0.5000 0.5000
Sr7 0.5303 0.2410 0.8591
Sr8 0.7410 0.0303 0.3591
Sr9 0.7590 0.4697 0.8591
Sr10 0.9697 0.2590 0.3591
Pb1 0.1589 0.8411 0.3408
Pb2 0.3411 0.6589 0.8408
Pb3 0.6589 0.3411 0.1592
Pb4 0.8411 0.1589 0.6592
I1 0.2106 0.2106 0.0000
I2 0.2894 0.2894 0.5000
I3 0.7106 0.7106 0.5000
I4 0.7894 0.7894 0.0000

=====

No. 3
Density functional theory data (PBE) for Cu2POs after structural relaxation.

Values from the calculation:
The total energy comes out at -6.011 eV/atom. As for the density: 10689 kg/m³. The space group is Amm2 (38). The formation energy comes out at 0.197 eV/atom. As for the total magnetization: 0.00 μB/f.u.

abc: 3.7211 5.1193 5.1193
angles: 33.70 90.00 90.00
Positions (direct):
Cu1 0.0000 0.0000 0.0000
Cu2 0.5000 0.3748 0.3748
P1 0.0000 0.7654 0.7654
Os1 0.5000 0.6405 0.6405

=====

No. 4
Density functional theory data (PBE) for TbDy2Pu3Te6 after structural relaxation.

Values from the calculation:
The total energy comes out at -7.525 eV/atom. As for the density: 9141 kg/m³. The space group is C2/m (12). As for the total magnetization: 17.96 μB/f.u. For the uncorrected formation energy, the calculation gives -1.219 eV per atom.

abc: 9.8585 9.8585 8.8311
angles: 103.77 103.77 25.62
Positions (direct):
Tb1 0.0000 0.0000 0.0000
Dy1 0.3334 0.3334 0.6670
Dy2 0.6666 0.6666 0.3330
Pu1 0.0000 0.0000 0.5000
Pu2 0.3337 0.3337 0.1668
Pu3 0.6663 0.6663 0.8332
Te1 0.1660 0.1660 0.0863
Te2 0.1679 0.1679 0.5803
Te3 0.4987 0.4987 0.7517
Te4 0.5013 0.5013 0.2483
Te5 0.8321 0.8321 0.4197
Te6 0.8340 0.8340 0.9137

=====

No. 5
Density functional theory data (PBE) for CaLa2Ru after structural relaxation.

Values from the calculation:
The total energy comes out at -5.386 eV/atom. As for the density: 5109 kg/m³. The space group is Cm (8). The formation energy comes out at -0.103 eV/atom. As for the total magnetization: 0.00 μB/f.u. The energy relative to the lowest polymorph listed for this composition is 0.104 eV/atom.

abc: 6.3001 6.3001 6.7498
angles: 118.58 118.58 36.03
Positions (direct):
Ca1 0.0000 0.0000 0.0000
La1 0.1793 0.1793 0.6961
La2 0.3556 0.3556 0.3375
Ru1 0.7321 0.7321 0.0092

=====

No. 6
Density functional theory data (PBE) for YC2BrCl after structural relaxation.

Values from the calculation:
The total energy comes out at -4.189 eV/atom. As for the density: 3004 kg/m³. The space group is P4/mmm (123). As for the total magnetization: 2.95 μB/f.u. For the uncorrected formation energy, the calculation gives 1.497 eV per atom.

abc: 4.9776 4.9776 5.0932
angles: 90.00 90.00 90.00
Positions (direct):
Y1 0.0000 0.0000 0.0000
C1 0.0000 0.5000 0.0000
C2 0.5000 0.0000 0.0000
Br1 0.5000 0.5000 0.5000
Cl1 0.0000 0.0000 0.5000

=====

No. 7
Density functional theory data (PBE) for CeErGa2Pt2 after structural relaxation.

Values from the calculation:
The total energy comes out at -5.811 eV/atom. As for the density: 11459 kg/m³. The space group is P-3m1 (164). The formation energy comes out at -1.039 eV/atom. As for the total magnetization: 0.44 μB/f.u.

abc: 4.4871 4.4871 6.9564
angles: 90.00 90.00 120.00
Positions (direct):
Ce1 0.0000 0.0000 0.0000
Er1 0.0000 0.0000 0.5000
Ga1 0.3333 0.6667 0.2677
Ga2 0.6667 0.3333 0.7323
Pt1 0.3333 0.6667 0.7337
Pt2 0.6667 0.3333 0.2663

=====

No. 8
Density functional theory data (PBE) for CaTl2Ga2 after structural relaxation.

Values from the calculation:
The total energy comes out at -2.691 eV/atom. As for the density: 7352 kg/m³. The space group is I4/mmm (139). The formation energy comes out at -0.133 eV/atom. As for the total magnetization: 0.00 μB/f.u. The energy relative to the lowest polymorph listed for this composition is 0.000 eV/atom.

abc: 6.7385 6.7385 6.7385
angles: 138.52 138.52 60.11
Positions (direct):
Ca1 0.0000 0.0000 0.0000
Tl1 0.2500 0.7500 0.5000
Tl2 0.7500 0.2500 0.5000
Ga1 0.3941 0.3941 0.0000
Ga2 0.6059 0.6059 0.0000